Computed, not measured: Ac2Nd8Tm3 after structural relaxation at the GGA-PBE level of DFT.

extended XYZ file:
```
13
Lattice="6.7325 -6.0043 0.0000 6.7325 6.0043 0.0000 -2.4685 0.0000 5.7622" Properties=species:S:1:pos:R:3 pbc="T T T"
Ac 1.8106 0.0000 1.9389
Ac 9.1860 0.0000 3.8232
Nd -0.8063 0.0000 4.3654
Nd 3.7562 2.9730 1.9638
Nd 2.5682 0.0000 5.3313
Nd 7.2404 2.9730 3.7984
Nd 3.7562 -2.9730 1.9638
Nd 8.4283 0.0000 0.4309
Nd 7.2404 -2.9730 3.7984
Nd 11.8029 0.0000 1.3968
Tm 6.7325 3.1183 0.0000
Tm 5.4983 0.0000 2.8811
Tm 6.7325 -3.1183 0.0000
```

Computed properties:
SG ... C2/m, No. 12
Formation enthalpy at 0 K ... 188 meV/atom
Mass density ... 7.5 g cm⁻³